1.
Here is SmHgGe after structural relaxation from the Alexandria database. Energies are from PBE.

Cell: 3.6210 3.6210 11.0826 Å, 90.00 90.00 90.00°
Space group I4mm (No. 107)
Symmetry-distinct sites (fractional):
Sm: 0.0000 0.0000 0.0000 (multiplicity 2)
Hg: 0.0000 0.0000 0.3197 (multiplicity 2)
Ge: 0.0000 0.0000 0.6735 (multiplicity 2)

Properties
density of states at the Fermi level: 3.941 states/eV/cell
formation energy from the elements: -0.297 eV per atom
E: -3.510 eV per atom



2.
Here is SmHgGe2 after structural relaxation from the Alexandria database. Energies are from PBE.

Cell: 4.9415 4.9415 20.4277 Å, 90.00 90.00 120.00°
Space group R-3m (No. 166, hexagonal axes)
Symmetry-distinct sites (fractional):
Sm: 0.0000 0.0000 0.0000 (multiplicity 3)
Hg: 0.0000 0.0000 0.5000 (multiplicity 3)
Ge: 0.0000 0.0000 0.3711 (multiplicity 6)

Properties
offset from the most stable computed form: 0.5578 eV per atom
density of states at the Fermi level: 9.592 states/eV/cell
formation energy from the elements: 0.156 eV per atom
E: -3.408 eV per atom